## KLaSb2 (PBE-GGA)

Data for a relaxed KLaSb2 crystal.

a = 3.4489 Å, b = 3.4489 Å, c = 11.7835 Å
α = 90.00°, β = 90.00°, γ = 90.00°
Sites, in units of the cell vectors:
K (0.0000, 0.0000, 0.0000)
La (0.5000, 0.5000, 0.3421)
Sb (0.0000, 0.0000, 0.5323)
Sb (0.5000, 0.5000, 0.7713)

## Properties
raw formation energy: -0.03 eV/atom
offset from the most stable computed form: 0.723 eV/atom
space group: P4mm, No. 99

=====

## PrIn2Ga (PBE-GGA)

Data for a relaxed PrIn2Ga crystal.

a = 11.2453 Å, b = 11.2453 Å, c = 11.2453 Å
α = 17.60°, β = 17.60°, γ = 17.60°
Sites, in units of the cell vectors:
Pr (0.0000, 0.0000, 0.0000)
In (0.0976, 0.0976, 0.0976)
In (0.9024, 0.9024, 0.9024)
Ga (0.5000, 0.5000, 0.5000)

## Properties
energy of formation: 0.105 eV/atom
offset from the most stable computed form: 0.575 eV/atom
space group: R-3m, No. 166

=====

## InFeCu2 (PBE-GGA)

Data for a relaxed InFeCu2 crystal.

a = 4.3336 Å, b = 4.3336 Å, c = 4.3336 Å
α = 60.00°, β = 60.00°, γ = 60.00°
Sites, in units of the cell vectors:
In (0.0000, 0.0000, 0.0000)
Fe (0.2500, 0.2500, 0.2500)
Cu (0.5000, 0.5000, 0.5000)
Cu (0.7500, 0.7500, 0.7500)

## Properties
energy of formation: 0.223 eV/atom
space group: F-43m, No. 216

=====

Energy (eV for the cell shown)
-14.372 -12.862 -18.502